Record 1
A geometry-optimized PmFe4Mo structure. Source: Alexandria via LeMat-Bulk, functional PBE-GGA.

Unit cell a=4.9891 b=4.9891 c=4.9891 alpha=60.00 beta=60.00 gamma=60.00
Last column: magnetic moment on the atom in μB.
Sites, in units of the cell vectors:
Mo: 0.2500 0.2500 0.2500  -0.94
Fe: 0.6237 0.6237 0.1288  1.88
Fe: 0.6237 0.1288 0.6237  1.88
Fe: 0.6237 0.6237 0.6237  1.88
Fe: 0.1288 0.6237 0.6237  1.88
Pm: 0.0000 0.0000 0.0000  -0.19

Summary:
As for the total energy: -8.00 eV per atom. The crystal system is cubic.

Record 2
A geometry-optimized PrFeSi2Mo structure. Source: Alexandria via LeMat-Bulk, functional PBE-GGA.

Unit cell a=4.0364 b=4.0364 c=6.1478 alpha=109.16 beta=109.16 gamma=90.00
Last column: magnetic moment on the atom in μB.
Sites, in units of the cell vectors:
Pr: 0.0000 0.0000 0.0000  -0.03
Fe: 0.7500 0.2500 0.5000  2.17
Si: 0.6188 0.6188 0.2376  -0.03
Si: 0.3812 0.3812 0.7624  -0.03
Mo: 0.2500 0.7500 0.5000  0.40

Summary:
As for the total energy: -7.45 eV per atom. The crystal system is tetragonal.

Record 3
A geometry-optimized FeMo2Pt structure. Source: Alexandria via LeMat-Bulk, functional PBE-GGA.

Unit cell a=9.1297 b=9.1297 c=9.1297 alpha=17.21 beta=17.21 gamma=17.21
Last column: magnetic moment on the atom in μB.
Sites, in units of the cell vectors:
Fe: 0.7500 0.7500 0.7500  0.89
Mo: 0.0051 0.0051 0.0051  -0.15
Mo: 0.4949 0.4949 0.4949  -0.15
Pt: 0.2500 0.2500 0.2500  -0.04

Summary:
Its energy relative to the lowest polymorph listed for this composition is 207 meV/atom. The crystal system is trigonal.

Record 4
A geometry-optimized Fe3MoPt structure. Source: Alexandria via LeMat-Bulk, functional PBE-GGA.

Unit cell a=4.5776 b=4.5776 c=4.5776 alpha=90.00 beta=90.00 gamma=90.00
Last column: magnetic moment on the atom in μB.
Sites, in units of the cell vectors:
Mo: 0.5000 0.5000 0.5000  0.26
Fe: 0.0000 0.5000 0.0000  3.21
Fe: 0.0000 0.0000 0.5000  3.22
Fe: 0.5000 0.0000 0.0000  2.82
Pt: 0.0000 0.0000 0.0000  0.53

Summary:
Its energy relative to the lowest polymorph listed for this composition is 150 meV/atom. The crystal system is cubic.

Record 5
A geometry-optimized FeMo2Pt structure. Source: Alexandria via LeMat-Bulk, functional PBE-GGA.

Unit cell a=3.9712 b=3.8155 c=3.8155 alpha=90.00 beta=90.00 gamma=90.00
Last column: magnetic moment on the atom in μB.
Sites, in units of the cell vectors:
Mo: 0.0000 0.0000 0.5000  -0.23
Mo: 0.0000 0.5000 0.0000  -0.23
Fe: 0.5000 0.0000 0.0000  1.34
Pt: 0.5000 0.5000 0.5000  -0.10

Summary:
Its energy relative to the lowest polymorph listed for this composition is 17 meV/atom. The crystal system is tetragonal.

Record 6
A geometry-optimized FeMo2Pt structure. Source: Alexandria via LeMat-Bulk, functional PBE-GGA.

Unit cell a=3.7061 b=3.7061 c=9.7013 alpha=78.99 beta=78.99 gamma=90.00
Last column: magnetic moment on the atom in μB.
Sites, in units of the cell vectors:
Mo: 0.6052 0.1250 0.2500  -0.04
Mo: 0.1448 0.6250 0.2500  -0.04
Mo: 0.3750 0.3948 0.7500  -0.04
Mo: 0.8750 0.8552 0.7500  -0.04
Fe: 0.5000 0.5000 0.0000  2.50
Fe: 0.2500 0.7500 0.5000  2.50
Pt: 0.0000 0.0000 0.0000  0.04
Pt: 0.7500 0.2500 0.5000  0.04

Summary:
Its energy relative to the lowest polymorph listed for this composition is 579 meV/atom. The crystal system is tetragonal.

Record 7
A geometry-optimized Fe2MoPt2 structure. Source: Alexandria via LeMat-Bulk, functional PBE-GGA.

Unit cell a=4.3804 b=5.1742 c=7.2822 alpha=73.06 beta=90.00 gamma=64.96
Last column: magnetic moment on the atom in μB.
Sites, in units of the cell vectors:
Fe: 0.6360 0.7280 0.5805  2.19
Fe: 0.5392 0.9216 0.8532  2.67
Fe: 0.3640 0.2720 0.4195  2.19
Fe: 0.4608 0.0784 0.1468  2.67
Mo: 0.2590 0.4819 0.7171  -0.65
Mo: 0.7410 0.5181 0.2829  -0.65
Pt: 0.0618 0.8763 0.3526  0.12
Pt: 0.8349 0.3302 0.9638  0.13
Pt: 0.9382 0.1237 0.6474  0.12
Pt: 0.1651 0.6698 0.0362  0.13

Summary:
Its energy relative to the lowest polymorph listed for this composition is 0 meV/atom. The crystal system is monoclinic.

Record 8
A geometry-optimized FeMo2Pt structure. Source: Alexandria via LeMat-Bulk, functional PBE-GGA.

Unit cell a=4.3887 b=4.3887 c=4.3887 alpha=60.00 beta=60.00 gamma=60.00
Last column: magnetic moment on the atom in μB.
Sites, in units of the cell vectors:
Fe: 0.5000 0.5000 0.5000  2.41
Mo: 0.0000 0.0000 0.0000  0.01
Mo: 0.2500 0.2500 0.2500  -0.06
Pt: 0.7500 0.7500 0.7500  0.01

Summary:
Its energy relative to the lowest polymorph listed for this composition is 241 meV/atom. The crystal system is cubic.